Computed, not measured: InMo2P at its PBEsol-relaxed geometry at the meta-GGA SCAN level of DFT.

Structure (POSCAR):
```
InMo2P
1.0
-1.5631 1.6836 6.4413
1.5631 -1.6836 6.4413
1.5631 1.6836 -6.4413
In Mo P
1 2 1
Direct
0.0000 0.0000 0.0000 In
0.6276 0.6276 0.0000 Mo
0.8171 0.3171 0.5000 Mo
0.2566 0.7566 0.5000 P
```

Summary:
space group: Imm2, No. 44
energy of formation from the pure elements: 0.019 eV per atom
relative energy among the computed polymorphs: 0.0000 eV per atom
VASP energy: -113.5 eV/f.u.

---

Computed, not measured: InMo2P at its PBEsol-relaxed geometry at the meta-GGA SCAN level of DFT.

Structure (POSCAR):
```
InMo2P
1.0
3.0930 0.0000 0.0000
0.0000 3.4529 0.0000
-1.0193 0.0000 6.0102
In Mo P
1 2 1
Direct
0.0000 0.0000 0.0000 In
0.3699 0.5000 0.7033 Mo
0.6301 0.5000 0.2967 Mo
0.0000 0.0000 0.5000 P
```

Summary:
space group: P2/m, No. 10
energy of formation from the pure elements: 0.086 eV per atom
relative energy among the computed polymorphs: 0.0671 eV per atom
VASP energy: -113.2 eV/f.u.

---

Computed, not measured: InMo2Pb at its PBEsol-relaxed geometry at the meta-GGA SCAN level of DFT.

Structure (POSCAR):
```
InMo2Pb
1.0
1.7005 -2.4242 0.0000
1.7005 2.4242 0.0000
0.0000 0.0000 9.0674
In Mo Pb
1 2 1
Direct
0.0000 0.0000 0.0000 In
0.5000 0.5000 0.2470 Mo
0.5000 0.5000 0.7530 Mo
0.0000 0.0000 0.5000 Pb
```

Summary:
space group: Cmmm, No. 65
energy of formation from the pure elements: 0.743 eV per atom
relative energy among the computed polymorphs: 0.3946 eV per atom
VASP energy: -176.0 eV/f.u.

---

Computed, not measured: InMo2Pb at its PBEsol-relaxed geometry at the meta-GGA SCAN level of DFT.

Structure (POSCAR):
```
InMo2Pb
1.0
1.6492 -2.4949 0.0000
1.6492 2.4949 0.0000
0.0000 0.0000 9.9193
In Mo Pb
1 2 1
Direct
0.0000 0.0000 0.0000 In
0.0000 0.0000 0.4302 Mo
0.5000 0.5000 0.2418 Mo
0.5000 0.5000 0.6877 Pb
```

Summary:
space group: Cmm2, No. 35
energy of formation from the pure elements: 0.465 eV per atom
relative energy among the computed polymorphs: 0.1165 eV per atom
VASP energy: -177.1 eV/f.u.